First-principles (PBE) data for crystalline CdBO2 at its relaxed geometry, as listed in the Alexandria database.

a b c (Å): 4.8642 4.8642 4.8841
angles (deg): 60.13 60.13 90.00
With the nearest neighbours (Å) after each atom.
Positions (direct):
O (0.3750, 0.6822, 0.7500)  2 B 1.52
O (0.3178, 0.1250, 0.2500)  2 B 1.52
O (0.4322, 0.6250, 0.2500)  2 B 1.52
O (0.8750, 0.5678, 0.7500)  2 B 1.52
Cd (0.0000, 0.0000, 0.0000)  8 O 2.62-2.88
Cd (0.7500, 0.2500, 0.5000)  8 O 2.62-2.88
B (0.2500, 0.7500, 0.5000)  4 O 1.52
B (0.5000, 0.5000, 0.0000)  4 O 1.52

## Properties
The density of states at the Fermi level is 0.332 states/eV/f.u. The value obtained for the uncorrected formation energy is -1323.6 meV/atom. The energy relative to the lowest polymorph listed for this composition comes out at 206 meV per atom. For the magnetization, the calculation gives 0.00 μB per formula unit.